# 1
Material: La3YEr2
Method: DFT, PBE
State: optimized geometry

Structure (CIF):
```
data_La3YEr2
_chemical_formula_sum 'La12 Y4 Er8'
_symmetry_space_group_name_H-M 'C 1 2/m 1'
_symmetry_Int_Tables_number 12
_cell_length_a 13.3925
_cell_length_b 3.5563
_cell_length_c 17.8924
_cell_angle_alpha 90.00
_cell_angle_beta 102.42
_cell_angle_gamma 90.00
loop_
_symmetry_equiv_pos_as_xyz
'x,y,z'
'-x,-y,-z'
'-x,y,-z'
'x,-y,z'
'x+1/2,y+1/2,z'
'-x+1/2,-y+1/2,-z'
'-x+1/2,y+1/2,-z'
'x+1/2,-y+1/2,z'
loop_
_atom_site_label
_atom_site_type_symbol
_atom_site_fract_x
_atom_site_fract_y
_atom_site_fract_z
_atom_site_occupancy
La1 La 0.0660 0.0000 0.1692 1
La2 La 0.1258 0.5000 0.9905 1
La3 La 0.2321 0.5000 0.3382 1
Y1 Y 0.0428 0.5000 0.6793 1
Er1 Er 0.1323 0.5000 0.5021 1
Er2 Er 0.1968 0.0000 0.8343 1
```

Output
The theoretical density comes out at 6.71 g cm⁻³. Its energy above the most stable polymorph in this dataset is 0 meV/atom. For the energy of formation, the calculation gives 0.68 eV/f.u.

=====

# 2
Material: Y2NiMo
Method: DFT, PBE
State: optimized geometry

Structure (CIF):
```
data_Y2NiMo
_chemical_formula_sum 'Y4 Ni2 Mo2'
_symmetry_space_group_name_H-M 'I -4 m 2'
_symmetry_Int_Tables_number 119
_symmetry_space_group_name_Hall 'I -4 -2'
_cell_length_a 4.1041
_cell_length_b 4.1041
_cell_length_c 9.8391
_cell_angle_alpha 90.00
_cell_angle_beta 90.00
_cell_angle_gamma 90.00
loop_
_atom_site_label
_atom_site_type_symbol
_atom_site_fract_x
_atom_site_fract_y
_atom_site_fract_z
_atom_site_occupancy
Y1 Y 0.0000 0.0000 0.0000 1
Y2 Y 0.0000 0.5000 0.2500 1
Ni1 Ni 0.0000 0.0000 0.5000 1
Mo1 Mo 0.0000 0.5000 0.7500 1
```

Output
The theoretical density comes out at 6.66 g cm⁻³. Its energy above the most stable polymorph in this dataset is 302 meV/atom. For the energy of formation, the calculation gives 1.34 eV/f.u.